# 1
This record from Alexandria describes crystalline Ta2AlSi at its relaxed geometry. The functional is PBE.

Output
For the relative energy among the computed polymorphs, the calculation gives 0.081 eV per atom. Its crystal system is tetragonal. The formation energy without anion corrections is -0.6 eV/f.u.

Geometry as POSCAR:
```
Ta2AlSi
1.0
-1.047 0.938 -2.499
-0.195 -2.704 -0.933
-7.308 -0.468 2.885
Si Al Ta
1 1 2
Cartesian
-6.102 -1.234 0.448 Si
-2.448 -1.000 -0.995 Al
-3.732 -0.239 1.473 Ta
-7.230 -0.463 2.854 Ta
```

---

# 2
This record from Alexandria describes crystalline K2MgHg at its relaxed geometry. The functional is PBE.

Output
Its calculated formation energy is -0.051 eV/atom. For the relative energy among the computed polymorphs, the calculation gives 0.011 eV per atom. Its crystal system is orthorhombic.

Geometry as POSCAR:
```
K2MgHg
1.0
5.104 0.000 0.000
0.000 5.076 0.034
0.000 2.496 6.564
K Hg Mg
2 1 1
Cartesian
2.552 2.206 2.098 K
0.000 7.258 6.121 K
2.552 4.730 4.811 Hg
0.000 4.736 3.463 Mg
```

---

# 3
This record from Alexandria describes crystalline CePmHo2S4 at its relaxed geometry. The functional is PBE.

Output
Its crystal system is monoclinic. The formation energy without anion corrections is -16.1 eV/f.u.

Geometry as POSCAR:
```
CePmHo2S4
1.0
-1.899 0.918 -3.310
-5.778 -2.501 2.622
0.482 6.722 1.588
Ce S Pm Ho
1 4 1 2
Cartesian
-3.839 -0.792 -0.344 Ce
-1.064 4.335 1.813 S
-4.233 -0.115 2.397 S
-4.899 3.545 1.467 S
-2.296 1.594 -0.567 S
0.000 0.000 0.000 Pm
-0.709 3.820 -0.861 Ho
-2.648 2.110 2.105 Ho
```

---

# 4
This record from Alexandria describes crystalline Zn8AgPd4 at its relaxed geometry. The functional is PBE.

Output
Its calculated formation energy is -0.305 eV/atom. Its crystal system is orthorhombic.

Geometry as POSCAR:
```
Zn8AgPd4
1.0
-0.636 2.352 3.578
-2.771 0.287 -0.681
-3.386 -13.326 8.158
Zn Ag Pd
8 1 4
Cartesian
-2.017 -2.342 1.181 Zn
-2.628 -10.341 6.331 Zn
-1.666 -6.558 4.015 Zn
-4.194 -8.481 7.448 Zn
-1.119 -1.976 3.719 Zn
-1.833 0.809 1.761 Zn
-4.488 -12.068 7.135 Zn
-2.294 -6.602 6.551 Zn
-1.129 -4.443 2.720 Ag
-3.537 -8.325 4.844 Pd
-3.181 -4.497 5.010 Pd
-0.174 -0.686 0.420 Pd
-3.301 -10.564 8.976 Pd
```

---

# 5
This record from Alexandria describes crystalline MgGaRu at its relaxed geometry. The functional is PBE.

Output
Its calculated formation energy is -0.186 eV/atom. Its crystal system is tetragonal.

Geometry as POSCAR:
```
MgGaRu
1.0
4.322 0.078 0.000
-0.078 4.322 0.000
0.000 0.000 5.873
Mg Ga Ru
2 2 2
Cartesian
2.580 0.475 4.405 Mg
0.381 2.595 1.468 Mg
2.581 0.475 1.468 Ga
0.382 2.597 4.405 Ga
2.543 2.636 0.000 Ru
2.543 2.636 2.937 Ru
```

---

# 6
This record from Alexandria describes crystalline CrFeRh2 at its relaxed geometry. The functional is PBE.

Output
Its calculated formation energy is 0.074 eV/atom. Its crystal system is tetragonal.

Geometry as POSCAR:
```
CrFeRh2
1.0
2.999 0.000 0.000
0.000 2.999 0.000
0.000 0.000 5.896
Rh Cr Fe
2 1 1
Cartesian
0.000 0.000 5.713 Rh
1.500 1.500 1.642 Rh
0.000 0.000 3.117 Cr
1.500 1.500 4.267 Fe
```

---

# 7
This record from Alexandria describes crystalline UBi2Ru at its relaxed geometry. The functional is PBE.

Output
Its calculated formation energy is 0.671 eV/atom. Its crystal system is trigonal.

Geometry as POSCAR:
```
UBi2Ru
1.0
3.232 0.000 0.000
1.616 2.799 0.000
1.616 0.933 10.823
Bi U Ru
2 1 1
Cartesian
1.616 0.933 8.204 Bi
4.848 2.799 2.620 Bi
3.232 1.866 5.412 U
0.000 0.000 0.000 Ru
```

---

# 8
This record from Alexandria describes crystalline Mg2GeIr at its relaxed geometry. The functional is PBE.

Output
Its calculated formation energy is -0.383 eV/atom. Its crystal system is trigonal.

Geometry as POSCAR:
```
Mg2GeIr
1.0
4.304 -0.012 -0.010
-2.143 3.733 0.010
-2.144 -1.243 4.529
Mg Ge Ir
2 1 1
Cartesian
1.081 -0.628 2.823 Mg
-3.213 1.867 4.419 Mg
-1.071 0.622 1.359 Ge
1.085 1.858 1.592 Ir
```

---

| no. | DFT total energy (eV/atom) |
| --- | --- |
| 1 | -8.366 |
| 2 | -1.074 |
| 3 | -6.561 |
| 4 | -2.906 |
| 5 | -4.818 |
| 6 | -8.123 |
| 7 | -6.411 |
| 8 | -4.550 |